# 1
DFT (GGA-PBE) results for crystalline NdErS at its relaxed geometry.

Summary:
relative energy among the computed polymorphs: 6.74 kJ/mol of atoms
crystal system: hexagonal
size of the total moment: 1.18 μB per cell
formation energy without anion corrections: -1.17 eV per atom
symmetry: P-6m2

Unit cell a=3.724 b=3.724 c=13.404 alpha=90.00 beta=90.00 gamma=120.00
Fractional coordinates of all 6 atoms:
Nd (0.667, 0.333, 0.231)
Nd (0.667, 0.333, 0.667)
Er (0.667, 0.333, 0.949)
Er (0.333, 0.667, 0.449)
S (0.333, 0.667, 0.079)
S (0.333, 0.667, 0.820)


# 2
DFT (GGA-PBE) results for crystalline NdEr3S6 at its relaxed geometry.

Summary:
crystal system: monoclinic
size of the total moment: 0.00 μB per cell
formation energy without anion corrections: -2.09 eV per atom
symmetry: P2_1/m

Unit cell a=3.966 b=11.024 c=11.292 alpha=71.21 beta=90.00 gamma=90.00
Fractional coordinates of all 20 atoms:
Nd (0.750, 0.549, 0.805)
Nd (0.250, 0.451, 0.195)
Er (0.750, 0.180, 0.998)
Er (0.250, 0.820, 0.002)
Er (0.750, 0.940, 0.667)
Er (0.250, 0.060, 0.333)
Er (0.750, 0.661, 0.413)
Er (0.250, 0.339, 0.587)
S (0.750, 0.978, 0.888)
S (0.250, 0.022, 0.112)
S (0.750, 0.303, 0.749)
S (0.250, 0.697, 0.251)
S (0.750, 0.895, 0.441)
S (0.250, 0.105, 0.559)
S (0.750, 0.418, 0.406)
S (0.250, 0.582, 0.594)
S (0.750, 0.236, 0.228)
S (0.250, 0.764, 0.772)
S (0.750, 0.618, 0.037)
S (0.250, 0.382, 0.963)


# 3
DFT (GGA-PBE) results for crystalline Nd3ErS6 at its relaxed geometry.

Summary:
crystal system: trigonal
size of the total moment: 0.00 μB per cell
formation energy without anion corrections: -2.06 eV per atom
symmetry: R-3

Unit cell a=8.228 b=8.228 c=8.228 alpha=91.46 beta=91.46 gamma=91.46
Fractional coordinates of all 20 atoms:
Nd (0.432, 0.924, 0.751)
Nd (0.924, 0.751, 0.432)
Nd (0.249, 0.568, 0.076)
Nd (0.751, 0.432, 0.924)
Nd (0.076, 0.249, 0.568)
Nd (0.568, 0.076, 0.249)
Er (0.000, 0.000, 0.000)
Er (0.500, 0.500, 0.500)
S (0.309, 0.913, 0.077)
S (0.087, 0.923, 0.691)
S (0.590, 0.812, 0.461)
S (0.923, 0.691, 0.087)
S (0.461, 0.590, 0.812)
S (0.188, 0.539, 0.410)
S (0.812, 0.461, 0.590)
S (0.539, 0.410, 0.188)
S (0.077, 0.309, 0.913)
S (0.410, 0.188, 0.539)
S (0.913, 0.077, 0.309)
S (0.691, 0.087, 0.923)


# 4
DFT (GGA-PBE) results for crystalline Nd5ErS8 at its relaxed geometry.

Summary:
crystal system: tetragonal
size of the total moment: 0.00 μB per cell
formation energy without anion corrections: -2.00 eV per atom
symmetry: I-4

Unit cell a=7.394 b=7.394 c=7.394 alpha=109.87 beta=109.87 gamma=108.68
Fractional coordinates of all 14 atoms:
Nd (0.626, 0.760, 0.631)
Nd (0.005, 0.374, 0.133)
Nd (0.128, 0.995, 0.369)
Nd (0.500, 0.500, 0.000)
Nd (0.240, 0.872, 0.867)
Er (0.750, 0.250, 0.500)
S (0.727, 0.983, 0.115)
S (0.868, 0.612, 0.885)
S (0.526, 0.125, 0.751)
S (0.875, 0.626, 0.401)
S (0.226, 0.474, 0.599)
S (0.388, 0.273, 0.256)
S (0.017, 0.132, 0.744)
S (0.374, 0.774, 0.249)


# 5
DFT (GGA-PBE) results for crystalline Nd4Er3S8 at its relaxed geometry.

Summary:
relative energy among the computed polymorphs: 19.93 kJ/mol of atoms
crystal system: trigonal
size of the total moment: 0.00 μB per cell
formation energy without anion corrections: -1.80 eV per atom
symmetry: R-3m

Unit cell a=7.781 b=7.781 c=8.619 alpha=63.17 beta=63.17 gamma=60.00
Fractional coordinates of all 15 atoms:
Nd (0.000, 0.000, 0.000)
Nd (0.352, 0.352, 0.945)
Nd (0.500, 0.500, 0.500)
Nd (0.648, 0.648, 0.055)
Er (0.500, 0.000, 0.500)
Er (0.000, 0.000, 0.500)
Er (0.000, 0.500, 0.500)
S (0.229, 0.229, 0.313)
S (0.236, 0.749, 0.266)
S (0.749, 0.749, 0.266)
S (0.749, 0.236, 0.266)
S (0.771, 0.771, 0.687)
S (0.764, 0.251, 0.734)
S (0.251, 0.251, 0.734)
S (0.251, 0.764, 0.734)


# 6
DFT (GGA-PBE) results for crystalline NdErS2 at its relaxed geometry.

Summary:
relative energy among the computed polymorphs: 0.00 kJ/mol of atoms
crystal system: monoclinic
size of the total moment: 0.00 μB per cell
formation energy without anion corrections: -2.00 eV per atom
symmetry: C2/m

Unit cell a=3.929 b=3.929 c=6.982 alpha=73.62 beta=73.62 gamma=60.15
Fractional coordinates of all 4 atoms:
Nd (0.500, 0.500, 0.500)
Er (0.000, 0.000, 0.000)
S (0.743, 0.743, 0.770)
S (0.257, 0.257, 0.230)


# 7
DFT (GGA-PBE) results for crystalline NdErS2 at its relaxed geometry.

Summary:
relative energy among the computed polymorphs: 6.69 kJ/mol of atoms
crystal system: trigonal
size of the total moment: 0.00 μB per cell
formation energy without anion corrections: -1.93 eV per atom
symmetry: R3m

Unit cell a=3.858 b=3.858 c=7.304 alpha=74.68 beta=74.68 gamma=60.00
Fractional coordinates of all 4 atoms:
Nd (0.672, 0.672, 0.983)
Er (0.494, 0.494, 0.517)
S (0.087, 0.087, 0.738)
S (0.246, 0.246, 0.262)


# 8
DFT (GGA-PBE) results for crystalline Nd4Er3S8 at its relaxed geometry.

Summary:
relative energy among the computed polymorphs: 0.00 kJ/mol of atoms
crystal system: monoclinic
size of the total moment: 0.00 μB per cell
formation energy without anion corrections: -2.01 eV per atom
symmetry: C2/m

Unit cell a=7.955 b=7.946 c=7.946 alpha=89.97 beta=120.09 gamma=120.09
Fractional coordinates of all 15 atoms:
Nd (0.500, 0.000, 0.000)
Nd (0.000, 0.500, 0.000)
Nd (0.000, 0.000, 0.000)
Nd (0.000, 0.000, 0.500)
Er (0.500, 0.500, 0.000)
Er (0.500, 0.000, 0.500)
Er (0.500, 0.500, 0.500)
S (0.510, 0.261, 0.261)
S (0.000, 0.745, 0.255)
S (0.013, 0.261, 0.261)
S (0.500, 0.744, 0.256)
S (0.500, 0.256, 0.744)
S (0.987, 0.739, 0.739)
S (0.000, 0.255, 0.745)
S (0.490, 0.739, 0.739)


# 9
DFT (GGA-PBE) results for crystalline Nd4ErS7 at its relaxed geometry.

Summary:
crystal system: monoclinic
size of the total moment: 0.00 μB per cell
formation energy without anion corrections: -2.06 eV per atom
symmetry: Cm

Unit cell a=3.927 b=6.910 c=11.867 alpha=104.53 beta=90.00 gamma=106.51
Fractional coordinates of all 12 atoms:
Nd (0.699, 0.397, 0.807)
Nd (0.301, 0.603, 0.193)
Nd (0.999, 0.998, 0.997)
Nd (0.111, 0.223, 0.425)
Er (0.888, 0.775, 0.578)
S (0.743, 0.487, 0.358)
S (0.269, 0.537, 0.647)
S (0.338, 0.677, 0.948)
S (0.660, 0.320, 0.051)
S (0.038, 0.077, 0.777)
S (0.959, 0.918, 0.215)
S (0.494, 0.988, 0.504)


# 10
DFT (GGA-PBE) results for crystalline NdEr3S4 at its relaxed geometry.

Summary:
relative energy among the computed polymorphs: 0.00 kJ/mol of atoms
crystal system: orthorhombic
size of the total moment: 0.00 μB per cell
formation energy without anion corrections: -1.96 eV per atom
symmetry: Cmmm

Unit cell a=3.870 b=6.814 c=6.814 alpha=108.84 beta=90.00 gamma=90.00
Fractional coordinates of all 8 atoms:
S (0.000, 0.263, 0.263)
S (0.500, 0.744, 0.256)
S (0.000, 0.737, 0.737)
S (0.500, 0.256, 0.744)
Nd (0.500, 0.000, 0.000)
Er (0.000, 0.000, 0.500)
Er (0.500, 0.500, 0.500)
Er (0.000, 0.500, 0.000)


# 11
DFT (GGA-PBE) results for crystalline NdEr3S at its relaxed geometry.

Summary:
crystal system: cubic
size of the total moment: 0.16 μB per cell
formation energy without anion corrections: -0.64 eV per atom
symmetry: Pm-3m

Unit cell a=5.281 b=5.281 c=5.281 alpha=90.00 beta=90.00 gamma=90.00
Fractional coordinates of all 5 atoms:
S (0.000, 0.000, 0.000)
Nd (0.500, 0.500, 0.500)
Er (0.000, 0.500, 0.000)
Er (0.000, 0.000, 0.500)
Er (0.500, 0.000, 0.000)


# 12
DFT (GGA-PBE) results for crystalline Nd3Er5S12 at its relaxed geometry.

Summary:
crystal system: cubic
size of the total moment: 0.00 μB per cell
formation energy without anion corrections: -1.92 eV per atom
symmetry: Ia-3d

Unit cell a=14.021 b=14.021 c=14.021 alpha=109.47 beta=109.47 gamma=109.47
Fractional coordinates of all 80 atoms:
S (0.719, 0.129, 0.044)
S (0.325, 0.544, 0.415)
S (0.956, 0.371, 0.281)
S (0.544, 0.219, 0.129)
S (0.590, 0.719, 0.675)
S (0.956, 0.585, 0.175)
S (0.325, 0.781, 0.410)
S (0.085, 0.910, 0.129)
S (0.585, 0.956, 0.675)
S (0.719, 0.590, 0.175)
S (0.781, 0.456, 0.371)
S (0.825, 0.915, 0.044)
S (0.129, 0.719, 0.544)
S (0.371, 0.415, 0.090)
S (0.090, 0.915, 0.371)
S (0.410, 0.129, 0.585)
S (0.090, 0.175, 0.219)
S (0.456, 0.675, 0.085)
S (0.825, 0.910, 0.281)
S (0.129, 0.410, 0.085)
S (0.371, 0.956, 0.781)
S (0.585, 0.629, 0.410)
S (0.915, 0.825, 0.544)
S (0.781, 0.325, 0.910)
S (0.415, 0.371, 0.590)
S (0.085, 0.175, 0.456)
S (0.219, 0.675, 0.090)
S (0.175, 0.090, 0.719)
S (0.629, 0.044, 0.219)
S (0.871, 0.590, 0.915)
S (0.544, 0.325, 0.915)
S (0.590, 0.871, 0.415)
S (0.910, 0.825, 0.781)
S (0.910, 0.085, 0.629)
S (0.871, 0.281, 0.456)
S (0.175, 0.085, 0.956)
S (0.629, 0.585, 0.910)
S (0.415, 0.044, 0.325)
S (0.281, 0.410, 0.825)
S (0.219, 0.544, 0.629)
S (0.915, 0.090, 0.871)
S (0.675, 0.219, 0.590)
S (0.456, 0.781, 0.871)
S (0.044, 0.415, 0.825)
S (0.410, 0.281, 0.325)
S (0.044, 0.629, 0.719)
S (0.675, 0.456, 0.585)
S (0.281, 0.871, 0.956)
Nd (0.750, 0.375, 0.125)
Nd (0.875, 0.750, 0.125)
Nd (0.375, 0.750, 0.625)
Nd (0.250, 0.125, 0.375)
Nd (0.875, 0.125, 0.250)
Nd (0.375, 0.625, 0.250)
Nd (0.625, 0.375, 0.750)
Nd (0.125, 0.875, 0.750)
Nd (0.750, 0.875, 0.625)
Nd (0.625, 0.250, 0.375)
Nd (0.125, 0.250, 0.875)
Nd (0.250, 0.625, 0.875)
Er (0.125, 0.375, 0.250)
Er (0.000, 0.500, 0.000)
Er (0.000, 0.000, 0.000)
Er (0.375, 0.250, 0.125)
Er (0.500, 0.000, 0.500)
Er (0.500, 0.500, 0.000)
Er (0.125, 0.750, 0.375)
Er (0.750, 0.125, 0.875)
Er (0.750, 0.625, 0.375)
Er (0.375, 0.125, 0.750)
Er (0.625, 0.875, 0.250)
Er (0.500, 0.500, 0.500)
Er (0.500, 0.000, 0.000)
Er (0.000, 0.000, 0.500)
Er (0.250, 0.375, 0.625)
Er (0.250, 0.875, 0.125)
Er (0.000, 0.500, 0.500)
Er (0.875, 0.250, 0.625)
Er (0.625, 0.750, 0.875)
Er (0.875, 0.625, 0.750)


# 13
DFT (GGA-PBE) results for crystalline NdEr2S4 at its relaxed geometry.

Summary:
relative energy among the computed polymorphs: 1.42 kJ/mol of atoms
crystal system: orthorhombic
size of the total moment: 0.00 μB per cell
formation energy without anion corrections: -2.05 eV per atom
symmetry: Pnma

Unit cell a=3.859 b=11.866 c=14.099 alpha=90.00 beta=90.00 gamma=90.00
Fractional coordinates of all 28 atoms:
Nd (0.250, 0.755, 0.332)
Nd (0.750, 0.245, 0.668)
Nd (0.250, 0.255, 0.168)
Nd (0.750, 0.745, 0.832)
Er (0.750, 0.062, 0.889)
Er (0.250, 0.938, 0.111)
Er (0.750, 0.562, 0.611)
Er (0.250, 0.438, 0.389)
Er (0.250, 0.408, 0.905)
Er (0.750, 0.592, 0.095)
Er (0.250, 0.908, 0.595)
Er (0.750, 0.092, 0.405)
S (0.750, 0.096, 0.078)
S (0.250, 0.904, 0.922)
S (0.750, 0.596, 0.422)
S (0.250, 0.404, 0.578)
S (0.750, 0.963, 0.717)
S (0.250, 0.037, 0.283)
S (0.750, 0.463, 0.783)
S (0.250, 0.537, 0.217)
S (0.750, 0.370, 0.038)
S (0.250, 0.630, 0.962)
S (0.750, 0.870, 0.462)
S (0.250, 0.130, 0.538)
S (0.250, 0.201, 0.820)
S (0.750, 0.799, 0.180)
S (0.250, 0.701, 0.680)
S (0.750, 0.299, 0.320)


# 14
DFT (GGA-PBE) results for crystalline NdEr5S6 at its relaxed geometry.

Summary:
crystal system: monoclinic
size of the total moment: 0.00 μB per cell
formation energy without anion corrections: -1.97 eV per atom
symmetry: C2/m

Unit cell a=6.759 b=6.759 c=6.755 alpha=99.57 beta=99.57 gamma=120.20
Fractional coordinates of all 12 atoms:
S (0.431, 0.086, 0.257)
S (0.914, 0.569, 0.743)
S (0.260, 0.260, 0.747)
S (0.740, 0.740, 0.253)
S (0.086, 0.431, 0.257)
S (0.569, 0.914, 0.743)
Nd (0.000, 0.000, 0.000)
Er (0.839, 0.161, 0.500)
Er (0.666, 0.334, 0.000)
Er (0.500, 0.500, 0.500)
Er (0.334, 0.666, 0.000)
Er (0.161, 0.839, 0.500)


# 15
DFT (GGA-PBE) results for crystalline NdEr6S8 at its relaxed geometry.

Summary:
crystal system: cubic
size of the total moment: 0.00 μB per cell
formation energy without anion corrections: -2.01 eV per atom
symmetry: Fm-3m

Unit cell a=7.741 b=7.741 c=7.741 alpha=60.00 beta=60.00 gamma=60.00
Fractional coordinates of all 15 atoms:
Nd (0.000, 0.000, 0.000)
Er (0.000, 0.500, 0.500)
Er (0.500, 0.000, 0.000)
Er (0.500, 0.500, 0.000)
Er (0.000, 0.000, 0.500)
Er (0.000, 0.500, 0.000)
Er (0.500, 0.000, 0.500)
S (0.750, 0.750, 0.750)
S (0.250, 0.250, 0.250)
S (0.741, 0.259, 0.259)
S (0.259, 0.741, 0.741)
S (0.259, 0.259, 0.741)
S (0.741, 0.741, 0.259)
S (0.741, 0.259, 0.741)
S (0.259, 0.741, 0.259)


# 16
DFT (GGA-PBE) results for crystalline Nd2ErS at its relaxed geometry.

Summary:
crystal system: trigonal
size of the total moment: 0.84 μB per cell
formation energy without anion corrections: -0.86 eV per atom
symmetry: R-3m

Unit cell a=3.851 b=3.851 c=9.761 alpha=78.62 beta=78.62 gamma=60.00
Fractional coordinates of all 4 atoms:
S (0.000, 0.000, 0.000)
Nd (0.271, 0.271, 0.186)
Nd (0.729, 0.729, 0.814)
Er (0.500, 0.500, 0.500)


# 17
DFT (GGA-PBE) results for crystalline Nd3Er5S8 at its relaxed geometry.

Summary:
crystal system: trigonal
size of the total moment: 0.00 μB per cell
formation energy without anion corrections: -1.98 eV per atom
symmetry: R-3m

Unit cell a=7.839 b=7.839 c=7.941 alpha=60.42 beta=60.42 gamma=60.00
Fractional coordinates of all 16 atoms:
Nd (0.500, 0.000, 0.500)
Nd (0.000, 0.000, 0.500)
Nd (0.000, 0.500, 0.500)
Er (0.500, 0.000, 0.000)
Er (0.500, 0.500, 0.000)
Er (0.000, 0.000, 0.000)
Er (0.000, 0.500, 0.000)
Er (0.500, 0.500, 0.500)
S (0.250, 0.250, 0.764)
S (0.250, 0.737, 0.764)
S (0.737, 0.250, 0.764)
S (0.743, 0.743, 0.770)
S (0.750, 0.750, 0.236)
S (0.750, 0.263, 0.236)
S (0.263, 0.750, 0.236)
S (0.257, 0.257, 0.230)